Entry 1:
Below is a relaxed TbHoPuSn crystal, with properties calculated at the GGA-PBE level.

The structure belongs to space group F-43m (No. 216); the cell edges are 7.6337, 7.6337 and 7.6337 Å and the angles 90.00°, 90.00° and 90.00°. The asymmetric unit holds Tb at (0.0000, 0.0000, 0.0000), Ho at (0.2500, 0.2500, 0.2500), Pu at (0.0000, 0.0000, 0.5000) and Sn at (0.2500, 0.2500, 0.7500).

Its raw total energy is -112.22 eV for the cell shown. Its density of states at the Fermi level is 43.00 states/eV/cell. The formation energy is -0.511 eV per formula unit. The value obtained for the volume is 111 Å³/f.u.

---

Entry 2:
Below is a relaxed SnPbO3 crystal, with properties calculated at the GGA-PBE level.

The structure belongs to space group C2/m (No. 12); the cell edges are 14.4253, 3.3031 and 7.7396 Å and the angles 90.00°, 117.33° and 90.00°. The asymmetric unit holds Sn at (0.1649, 0.0000, 0.3056), Pb at (0.1145, 0.5000, 0.8109), O at (0.0663, 0.5000, 0.2532), O at (0.1650, 0.0000, 0.0388) and O at (0.2219, 0.0000, 0.6120).

Its raw total energy is -118.30 eV for the cell shown. Its density of states at the Fermi level is 0.00 states/eV/cell. The value obtained for the volume is 82 Å³/f.u. As for the uncorrected formation energy: -1.398 eV per atom.

---

Entry 3:
Below is a relaxed MnNiTeN2 crystal, with properties calculated at the GGA-PBE level.

The structure belongs to space group P4/mmm (No. 123); the cell edges are 3.7653, 3.7653 and 5.3463 Å and the angles 90.00°, 90.00° and 90.00°. The asymmetric unit holds Mn at (0.0000, 0.0000, 0.0000), Ni at (0.5000, 0.5000, 0.5000), Te at (0.5000, 0.5000, 0.0000) and N at (0.0000, 0.5000, 0.5000).

Its raw total energy is -28.51 eV for the cell shown. Its density of states at the Fermi level is 6.53 states/eV/cell. The value obtained for the volume is 76 Å³/f.u. As for the uncorrected formation energy: 1.247 eV per atom.

---

Entry 4:
Below is a relaxed CaTe4Pb crystal, with properties calculated at the GGA-PBE level.

The structure belongs to space group F-43m (No. 216); the cell edges are 9.1466, 9.1466 and 9.1466 Å and the angles 90.00°, 90.00° and 90.00°. The asymmetric unit holds Ca at (0.0000, 0.0000, 0.0000), Te at (0.1253, 0.1253, 0.3747) and Pb at (0.2500, 0.2500, 0.7500).

Its raw total energy is -73.81 eV for the cell shown. Its density of states at the Fermi level is 16.57 states/eV/cell. The value obtained for the volume is 191 Å³/f.u. As for the uncorrected formation energy: -0.029 eV per atom.

---

Entry 5:
Below is a relaxed Tm2Th crystal, with properties calculated at the GGA-PBE level.

The structure belongs to space group I4/mmm (No. 139); the cell edges are 3.5435, 3.5435 and 14.8297 Å and the angles 90.00°, 90.00° and 90.00°. The asymmetric unit holds Tm at (0.0000, 0.0000, 0.1630) and Th at (0.0000, 0.0000, 0.5000).

Its raw total energy is -32.59 eV for the cell shown. Its density of states at the Fermi level is 9.21 states/eV/cell. The formation energy is 0.068 eV per formula unit. The value obtained for the volume is 93 Å³/f.u.

---

Entry 6:
Below is a relaxed Pm3Pr2In4 crystal, with properties calculated at the GGA-PBE level.

The structure belongs to space group Cmce (No. 64); the cell edges are 7.2717, 16.6520 and 9.4336 Å and the angles 90.00°, 90.00° and 90.00°. The asymmetric unit holds Pm at (0.0000, 0.0000, 0.0000), Pm at (0.2500, 0.2214, 0.2500), Pr at (0.0000, 0.1078, 0.5705), In at (0.0000, 0.1858, 0.9679) and In at (0.2500, 0.0317, 0.2500).

Its raw total energy is -149.79 eV for the cell shown. Its density of states at the Fermi level is 27.20 states/eV/cell. The formation energy is -2.682 eV per formula unit. The value obtained for the volume is 286 Å³/f.u.

---

Entry 7:
Below is a relaxed PmNdCoNi crystal, with properties calculated at the GGA-PBE level.

The structure belongs to space group F-43m (No. 216); the cell edges are 6.9130, 6.9130 and 6.9130 Å and the angles 90.00°, 90.00° and 90.00°. The asymmetric unit holds Pm at (0.0000, 0.0000, 0.0000), Nd at (0.0000, 0.0000, 0.5000), Co at (0.2500, 0.2500, 0.2500) and Ni at (0.2500, 0.2500, 0.7500).

Its raw total energy is -91.21 eV for the cell shown. Its density of states at the Fermi level is 12.25 states/eV/cell. The formation energy is -0.398 eV per formula unit. The value obtained for the volume is 83 Å³/f.u.

---

Entry 8:
Below is a relaxed Mn2InW crystal, with properties calculated at the GGA-PBE level.

The structure belongs to space group P4mm (No. 99); the cell edges are 2.8184, 2.8184 and 7.5545 Å and the angles 90.00°, 90.00° and 90.00°. The asymmetric unit holds Mn at (0.0000, 0.0000, 0.0000), Mn at (0.5000, 0.5000, 0.1894), In at (0.5000, 0.5000, 0.7249) and W at (0.0000, 0.0000, 0.4198).

Its raw total energy is -32.72 eV for the cell shown. Its density of states at the Fermi level is 3.10 states/eV/cell. The formation energy is 1.308 eV per formula unit. The value obtained for the volume is 60 Å³/f.u.

---

Entry 9:
Below is a relaxed SrCuPb2Au crystal, with properties calculated at the GGA-PBE level.

The structure belongs to space group P4/mmm (No. 123); the cell edges are 4.9919, 4.9919 and 5.2537 Å and the angles 90.00°, 90.00° and 90.00°. The asymmetric unit holds Sr at (0.0000, 0.0000, 0.0000), Cu at (0.0000, 0.0000, 0.5000), Pb at (0.0000, 0.5000, 0.5000) and Au at (0.5000, 0.5000, 0.0000).

Its raw total energy is -15.78 eV for the cell shown. Its density of states at the Fermi level is 1.73 states/eV/cell. The formation energy is 0.692 eV per formula unit. The value obtained for the volume is 131 Å³/f.u.

---

Entry 10:
Below is a relaxed KBaMg2 crystal, with properties calculated at the GGA-PBE level.

The structure belongs to space group C2/m (No. 12); the cell edges are 12.2692, 4.0238 and 7.8950 Å and the angles 90.00°, 101.54° and 90.00°. The asymmetric unit holds K at (0.0000, 0.0000, 0.0000), Ba at (0.0000, 0.5000, 0.5000) and Mg at (0.2488, 0.0000, 0.6692).

Its raw total energy is -10.48 eV for the cell shown. Its density of states at the Fermi level is 6.96 states/eV/cell. The formation energy is 0.970 eV per formula unit. The value obtained for the volume is 191 Å³/f.u.

---

Entry 11:
Below is a relaxed CaErP crystal, with properties calculated at the GGA-PBE level.

The structure belongs to space group P3m1 (No. 156); the cell edges are 3.9801, 3.9801 and 6.5476 Å and the angles 90.00°, 90.00° and 120.00°. The asymmetric unit holds Ca at (0.0000, 0.0000, 0.0000), Er at (0.6667, 0.3333, 0.5122) and P at (0.3333, 0.6667, 0.7311).

Its raw total energy is -14.60 eV for the cell shown. Its density of states at the Fermi level is 1.46 states/eV/cell. The formation energy is -2.629 eV per formula unit. The value obtained for the volume is 90 Å³/f.u.